VGeO2: relaxed, GGA+U. Values from VASP.

total DFT energy (no corrections) = -52.019 eV for the cell shown
crystal system = tetragonal
SG = I-42d

Geometry as Quantum ESPRESSO input:
```
&SYSTEM
  ibrav = 0, nat = 8, ntyp = 3
/
ATOMIC_SPECIES
O 16.00 O.upf
Ge 72.64 Ge.upf
V 50.94 V.upf
CELL_PARAMETERS angstrom
5.181 0.000 0.000
0.000 5.181 0.000
2.591 2.591 4.551
ATOMIC_POSITIONS crystal
O 0.548 0.125 0.250
O 0.375 0.452 0.750
Ge 0.750 0.250 0.500
O 0.875 0.798 0.750
O 0.202 0.625 0.250
Ge 0.000 0.000 0.000
V 0.250 0.750 0.500
V 0.500 0.500 0.000
```